! SrBeGe GGA-PBE relaxed; values from VASP
! - density (g cm⁻³) = 4.2
! - formation energy (eV per atom) = -0.356
! - VASP energy (eV/atom) = -3.70
&SYSTEM
  ibrav = 0, nat = 3, ntyp = 3
/
ATOMIC_SPECIES
Be 9.01 Be.upf
Sr 87.62 Sr.upf
Ge 72.64 Ge.upf
CELL_PARAMETERS angstrom
-3.544 0.092 1.988
3.006 -2.400 1.313
1.589 3.453 2.673
ATOMIC_POSITIONS angstrom
Be 0.000 0.000 0.000
Sr -0.566 0.988 3.100
Ge 0.823 -1.569 1.538